Below is an optimized crystal structure of Th2Zn4HgAu3, with properties calculated at the PBE-GGA level.

formation energy from the elements: -373 meV/atom
N(E_F): 9.02 states/eV/f.u.
space-group type: P-4m2, No. 115
energy: -3.380 eV per atom

```
data_Th2Zn4HgAu3
_chemical_formula_sum 'Th2 Zn4 Hg1 Au3'
_cell_length_a 4.3665
_cell_length_b 4.3665
_cell_length_c 10.9125
_cell_angle_alpha 90.00
_cell_angle_beta 90.00
_cell_angle_gamma 90.00
_symmetry_space_group_name_H-M 'P 1'
_symmetry_Int_Tables_number 1
_symmetry_space_group_name_Hall 'P 1'
loop_
_atom_site_label
_atom_site_fract_x
_atom_site_fract_y
_atom_site_fract_z
Zn1 0.0000 0.0000 0.0000
Zn2 0.5000 0.5000 0.0000
Zn3 0.0000 0.5000 0.3611
Zn4 0.5000 0.0000 0.6389
Hg1 0.5000 0.5000 0.5000
Au1 0.5000 0.0000 0.8677
Au2 0.0000 0.0000 0.5000
Au3 0.0000 0.5000 0.1323
Th1 0.5000 0.0000 0.2420
Th2 0.0000 0.5000 0.7580
```

=====

Below is an optimized crystal structure of Nb3SiIr, with properties calculated at the PBE-GGA level.

energy relative to the elements, uncorrected: 0.70 eV/atom
N(E_F): 4.06 states/eV/f.u.
space-group type: Pm-3m, No. 221
energy: -8.202 eV per atom

```
data_Nb3SiIr
_chemical_formula_sum 'Nb3 Si1 Ir1'
_cell_length_a 4.5756
_cell_length_b 4.5756
_cell_length_c 4.5756
_cell_angle_alpha 90.00
_cell_angle_beta 90.00
_cell_angle_gamma 90.00
_symmetry_space_group_name_H-M 'P 1'
_symmetry_Int_Tables_number 1
_symmetry_space_group_name_Hall 'P 1'
loop_
_atom_site_label
_atom_site_fract_x
_atom_site_fract_y
_atom_site_fract_z
Ir1 0.5000 0.5000 0.5000
Nb1 0.0000 0.0000 0.5000
Nb2 0.0000 0.5000 0.0000
Nb3 0.5000 0.0000 0.0000
Si1 0.0000 0.0000 0.0000
```

=====

Below is an optimized crystal structure of Tb2TlCd, with properties calculated at the PBE-GGA level.

formation energy from the elements: -343 meV/atom
N(E_F): 4.47 states/eV/f.u.
space-group type: P4/mmm, No. 123
energy: -3.478 eV per atom

```
data_Tb2TlCd
_chemical_formula_sum 'Tb2 Tl1 Cd1'
_cell_length_a 3.7940
_cell_length_b 3.7940
_cell_length_c 7.5222
_cell_angle_alpha 90.00
_cell_angle_beta 90.00
_cell_angle_gamma 90.00
_symmetry_space_group_name_H-M 'P 1'
_symmetry_Int_Tables_number 1
_symmetry_space_group_name_Hall 'P 1'
loop_
_atom_site_label
_atom_site_fract_x
_atom_site_fract_y
_atom_site_fract_z
Tl1 0.5000 0.5000 0.5000
Tb1 0.0000 0.0000 0.2439
Tb2 0.0000 0.0000 0.7561
Cd1 0.5000 0.5000 0.0000
```

=====

Below is an optimized crystal structure of YScSbIr2, with properties calculated at the PBE-GGA level.

energy relative to the elements, uncorrected: 0.71 eV/atom
N(E_F): 5.26 states/eV/f.u.
space-group type: P4/mmm, No. 123
energy: -6.217 eV per atom

```
data_YScSbIr2
_chemical_formula_sum 'Y1 Sc1 Sb1 Ir2'
_cell_length_a 4.7092
_cell_length_b 5.4224
_cell_length_c 4.7092
_cell_angle_alpha 90.00
_cell_angle_beta 90.00
_cell_angle_gamma 90.00
_symmetry_space_group_name_H-M 'P 1'
_symmetry_Int_Tables_number 1
_symmetry_space_group_name_Hall 'P 1'
loop_
_atom_site_label
_atom_site_fract_x
_atom_site_fract_y
_atom_site_fract_z
Ir1 0.0000 0.0000 0.5000
Ir2 0.5000 0.0000 0.0000
Y1 0.0000 0.5000 0.0000
Sb1 0.5000 0.5000 0.5000
Sc1 0.0000 0.0000 0.0000
```

=====

Below is an optimized crystal structure of La6CuTc2, with properties calculated at the PBE-GGA level.

formation energy from the elements: -31 meV/atom
N(E_F): 8.78 states/eV/f.u.
space-group type: Immm, No. 71
energy: -6.074 eV per atom

```
data_La6CuTc2
_chemical_formula_sum 'La12 Cu2 Tc4'
_cell_length_a 8.7760
_cell_length_b 8.7760
_cell_length_c 8.7760
_cell_angle_alpha 107.05
_cell_angle_beta 110.94
_cell_angle_gamma 110.45
_symmetry_space_group_name_H-M 'P 1'
_symmetry_Int_Tables_number 1
_symmetry_space_group_name_Hall 'P 1'
loop_
_atom_site_label
_atom_site_fract_x
_atom_site_fract_y
_atom_site_fract_z
Cu1 0.0000 0.5000 0.5000
Cu2 0.0000 0.0000 0.0000
La1 0.5375 0.7215 0.8160
La2 0.3163 0.6430 0.3267
La3 0.3163 0.9897 0.6733
La4 0.6837 0.3570 0.6733
La5 0.8094 0.7669 0.5763
La6 0.9055 0.7215 0.1840
La7 0.8094 0.2331 0.0426
La8 0.4625 0.2785 0.1840
La9 0.1906 0.7669 0.9574
La10 0.6837 0.0103 0.3267
La11 0.0945 0.2785 0.8160
La12 0.1906 0.2331 0.4237
Tc1 0.3179 0.0000 0.3179
Tc2 0.5000 0.6156 0.1156
Tc3 0.5000 0.3844 0.8844
Tc4 0.6821 0.0000 0.6821
```

=====

Below is an optimized crystal structure of Ba2NiSbMo, with properties calculated at the PBE-GGA level.

energy relative to the elements, uncorrected: 0.73 eV/atom
N(E_F): 2.36 states/eV/f.u.
space-group type: P4/mmm, No. 123
energy: -4.186 eV per atom

```
data_Ba2NiSbMo
_chemical_formula_sum 'Ba2 Ni1 Sb1 Mo1'
_cell_length_a 6.6418
_cell_length_b 4.6860
_cell_length_c 6.6418
_cell_angle_alpha 90.00
_cell_angle_beta 90.00
_cell_angle_gamma 90.00
_symmetry_space_group_name_H-M 'P 1'
_symmetry_Int_Tables_number 1
_symmetry_space_group_name_Hall 'P 1'
loop_
_atom_site_label
_atom_site_fract_x
_atom_site_fract_y
_atom_site_fract_z
Ba1 0.5000 0.0000 0.0000
Ba2 0.0000 0.0000 0.5000
Mo1 0.5000 0.5000 0.5000
Ni1 0.0000 0.5000 0.0000
Sb1 0.0000 0.0000 0.0000
```

=====

Below is an optimized crystal structure of BaSO, with properties calculated at the PBE-GGA level.

energy relative to the elements, uncorrected: -1.70 eV/atom
N(E_F): 0.00 states/eV/f.u.
space-group type: P1, No. 1
energy: -5.372 eV per atom

```
data_BaSO
_chemical_formula_sum 'Ba2 S2 O2'
_cell_length_a 4.2513
_cell_length_b 4.5139
_cell_length_c 8.0922
_cell_angle_alpha 75.05
_cell_angle_beta 80.77
_cell_angle_gamma 89.32
_symmetry_space_group_name_H-M 'P 1'
_symmetry_Int_Tables_number 1
_symmetry_space_group_name_Hall 'P 1'
loop_
_atom_site_label
_atom_site_fract_x
_atom_site_fract_y
_atom_site_fract_z
Ba1 0.7694 0.4989 0.5696
Ba2 0.3691 0.1729 0.1773
S1 0.9377 0.7307 0.0435
S2 0.1673 0.8804 0.7881
O1 0.8045 0.0842 0.3821
O2 0.2245 0.2487 0.7476
```

=====

Below is an optimized crystal structure of HoErTe2O, with properties calculated at the PBE-GGA level.

energy relative to the elements, uncorrected: -2.06 eV/atom
N(E_F): 1.36 states/eV/f.u.
space-group type: P4/nmm, No. 129
energy: -6.134 eV per atom

```
data_HoErTe2O
_chemical_formula_sum 'Ho2 Er2 Te4 O2'
_cell_length_a 4.0949
_cell_length_b 4.0949
_cell_length_c 15.7362
_cell_angle_alpha 90.00
_cell_angle_beta 90.00
_cell_angle_gamma 90.00
_symmetry_space_group_name_H-M 'P 1'
_symmetry_Int_Tables_number 1
_symmetry_space_group_name_Hall 'P 1'
loop_
_atom_site_label
_atom_site_fract_x
_atom_site_fract_y
_atom_site_fract_z
Te1 0.5000 0.0000 0.3158
Te2 0.0000 0.5000 0.0830
Te3 0.5000 0.0000 0.9170
Te4 0.0000 0.5000 0.6842
Ho1 0.0000 0.5000 0.4356
Ho2 0.5000 0.0000 0.5644
Er1 0.0000 0.5000 0.8648
Er2 0.5000 0.0000 0.1352
O1 0.5000 0.5000 0.5000
O2 0.0000 0.0000 0.5000
```

=====

What is the formula in the first record?
Th2Zn4HgAu3

=====

Which of these has the highest N(E_F)?
Th2Zn4HgAu3